# 1
Computed, not measured: crystalline La3Co7Ni2 at its relaxed geometry at the PBE-GGA level of DFT.

Values from the calculation:
D(E_F) = 15.9 states/eV/f.u.
Uncorrected energy = -6.433 eV per atom
ΔE_f = -0.09 eV per atom

CIF file:
```
data_La3Co7Ni2
_cell_length_a 5.0117
_cell_length_b 5.0117
_cell_length_c 25.5674
_cell_angle_alpha 90.00
_cell_angle_beta 90.00
_cell_angle_gamma 120.00
_space_group_name_H-M_alt 'R -3 m'
_space_group_IT_number 166
_space_group_name_Hall '-R 3 2"'
loop_
_atom_site_label
_atom_site_type_symbol
_atom_site_fract_x
_atom_site_fract_y
_atom_site_fract_z
La1 La 0.0000 0.0000 0.0000
La2 La 0.0000 0.0000 0.1388
Co1 Co 0.0000 0.0000 0.5000
Co2 Co 0.0034 0.5017 0.0793
Ni1 Ni 0.0000 0.0000 0.3325
```



# 2
Computed, not measured: crystalline Pm2TlSi2 at its relaxed geometry at the PBE-GGA level of DFT.

Values from the calculation:
D(E_F) = 2.2 states/eV/f.u.
Uncorrected energy = -5.143 eV per atom
Energy above the most stable polymorph in this dataset = 0.22 eV/f.u.
Formation energy without anion corrections = -0.6004 eV per atom

CIF file:
```
data_Pm2TlSi2
_cell_length_a 7.5551
_cell_length_b 7.5551
_cell_length_c 4.2325
_cell_angle_alpha 90.00
_cell_angle_beta 90.00
_cell_angle_gamma 90.00
_space_group_name_H-M_alt 'P 4/m b m'
_space_group_IT_number 127
_space_group_name_Hall '-P 4 2ab'
loop_
_atom_site_label
_atom_site_type_symbol
_atom_site_fract_x
_atom_site_fract_y
_atom_site_fract_z
Pm1 Pm 0.1812 0.3188 0.0000
Tl1 Tl 0.0000 0.0000 0.5000
Si1 Si 0.1104 0.6104 0.5000
```



# 3
Computed, not measured: crystalline CaDyGeN3 at its relaxed geometry at the PBE-GGA level of DFT.

Values from the calculation:
Uncorrected energy = -6.761 eV per atom
Formation energy without anion corrections = -0.7285 eV per atom

CIF file:
```
data_CaDyGeN3
_cell_length_a 6.7535
_cell_length_b 3.3139
_cell_length_c 9.2294
_cell_angle_alpha 90.00
_cell_angle_beta 93.36
_cell_angle_gamma 90.00
_space_group_name_H-M_alt 'P 1 21/m 1'
_space_group_IT_number 11
loop_
_space_group_symop_operation_xyz
'x,y,z'
'-x,-y,-z'
'-x,y+1/2,-z'
'x,-y+1/2,z'
loop_
_atom_site_label
_atom_site_type_symbol
_atom_site_fract_x
_atom_site_fract_y
_atom_site_fract_z
Ca1 Ca 0.1773 0.2500 0.2164
Dy1 Dy 0.3591 0.7500 0.8785
Ge1 Ge 0.1183 0.2500 0.5937
N1 N 0.1209 0.2500 0.7885
N2 N 0.1629 0.7500 0.4884
N3 N 0.3912 0.7500 0.1206
```